{
  "formula": "Zr2CdPt2",
  "functional": "meta-GGA SCAN",
  "state": "single point on PBEsol structure",
  "sg": "I4/mmm (139)",
  "formation_energy_ev_per_atom": -0.5597,
  "energy_ev_per_cell": -234.997,
  "cell": [[-1.9050, 1.9050, 7.0822], [1.9050, -1.9050, 7.0822], [1.9050, 1.9050, -7.0822]],
  "species": ["Zr", "Zr", "Cd", "Pt", "Pt"],
  "frac_coords": [[0.1141, 0.1141, 0.0000], [0.8859, 0.8859, 0.0000], [0.5000, 0.5000, 0.0000], [0.2500, 0.7500, 0.5000], [0.7500, 0.2500, 0.5000]]
}